No. 1
# Ac3LaBi4

A relaxed structure of Ac3LaBi4 (PBE, Alexandria via LeMat-Bulk).

It has space group Pm-3m (No. 221), with a = 6.8445 Å, b = 6.8445 Å, c = 6.8445 Å, α = 90.00°, β = 90.00° and γ = 90.00°. The asymmetric unit holds Ac at (0.0000, 0.0000, 0.5000), La at (0.5000, 0.5000, 0.5000), Bi at (0.0000, 0.0000, 0.0000) and Bi at (0.0000, 0.5000, 0.5000).

The calculation puts the relative energy among the computed polymorphs at 0.4 kJ/mol of atoms.



No. 2
# AcLaBi

A relaxed structure of AcLaBi (PBE, Alexandria via LeMat-Bulk).

It has space group P3m1 (No. 156), with a = 5.5164 Å, b = 5.5164 Å, c = 4.4112 Å, α = 90.00°, β = 90.00° and γ = 120.00°. The asymmetric unit holds Ac at (0.0000, 0.0000, 0.0000), La at (0.3333, 0.6667, 0.4779) and Bi at (0.6667, 0.3333, 0.6172).

The calculation puts the relative energy among the computed polymorphs at 32.2 kJ/mol of atoms.



No. 3
# Ac3LaBi4

A relaxed structure of Ac3LaBi4 (PBE, Alexandria via LeMat-Bulk).

It has space group Cmmm (No. 65), with a = 9.6780 Å, b = 13.6813 Å, c = 4.8411 Å, α = 90.00°, β = 90.00° and γ = 90.00°. The asymmetric unit holds Ac at (0.0000, 0.0000, 0.0000), Ac at (0.2500, 0.2500, 0.5000), La at (0.0000, 0.5000, 0.0000), Bi at (0.0000, 0.2536, 0.0000) and Bi at (0.2432, 0.5000, 0.5000).

The calculation puts the relative energy among the computed polymorphs at 0.0 kJ/mol of atoms.



No. 4
# Ac2LaBi3

A relaxed structure of Ac2LaBi3 (PBE, Alexandria via LeMat-Bulk).

It has space group Immm (No. 71), with a = 4.8269 Å, b = 6.8256 Å, c = 14.4621 Å, α = 90.00°, β = 90.00° and γ = 90.00°. The asymmetric unit holds Ac at (0.0000, 0.0000, 0.1676), La at (0.0000, 0.0000, 0.5000), Bi at (0.0000, 0.5000, 0.1611) and Bi at (0.0000, 0.5000, 0.5000).

The calculation puts the energy at -61.773 eV for the cell shown.



No. 5
# LiAcLaBi

A relaxed structure of LiAcLaBi (PBE, Alexandria via LeMat-Bulk).

It has space group F-43m (No. 216), with a = 8.0529 Å, b = 8.0529 Å, c = 8.0529 Å, α = 90.00°, β = 90.00° and γ = 90.00°. The asymmetric unit holds Li at (0.0000, 0.0000, 0.0000), Ac at (0.2500, 0.2500, 0.2500), La at (0.2500, 0.2500, 0.7500) and Bi at (0.0000, 0.0000, 0.5000).

The calculation puts the energy at -65.171 eV for the cell shown.



No. 6
# AcLaMgBi

A relaxed structure of AcLaMgBi (PBE, Alexandria via LeMat-Bulk).

It has space group F-43m (No. 216), with a = 8.1536 Å, b = 8.1536 Å, c = 8.1536 Å, α = 90.00°, β = 90.00° and γ = 90.00°. The asymmetric unit holds Ac at (0.0000, 0.0000, 0.0000), La at (0.0000, 0.0000, 0.5000), Mg at (0.2500, 0.2500, 0.7500) and Bi at (0.2500, 0.2500, 0.2500).

The calculation puts the energy at -64.212 eV for the cell shown.



No. 7
# NaAcLaBi

A relaxed structure of NaAcLaBi (PBE, Alexandria via LeMat-Bulk).

It has space group F-43m (No. 216), with a = 8.1926 Å, b = 8.1926 Å, c = 8.1926 Å, α = 90.00°, β = 90.00° and γ = 90.00°. The asymmetric unit holds Na at (0.0000, 0.0000, 0.0000), Ac at (0.2500, 0.2500, 0.2500), La at (0.2500, 0.2500, 0.7500) and Bi at (0.0000, 0.0000, 0.5000).

The calculation puts the energy at -61.712 eV for the cell shown.



No. 8
# Ac2LaNdBi5

A relaxed structure of Ac2LaNdBi5 (PBE, Alexandria via LeMat-Bulk).

It has space group P4/mmm (No. 123), with a = 5.6113 Å, b = 5.6113 Å, c = 12.3917 Å, α = 90.00°, β = 90.00° and γ = 90.00°. The asymmetric unit holds Ac at (0.0000, 0.0000, 0.2207), La at (0.5000, 0.5000, 0.5000), Nd at (0.5000, 0.5000, 0.0000), Bi at (0.0000, 0.0000, 0.5000), Bi at (0.0000, 0.5000, 0.0000) and Bi at (0.5000, 0.5000, 0.2521).

The calculation puts the energy at -39.998 eV for the cell shown.



No. 9
# AcLa2NdBi4

A relaxed structure of AcLa2NdBi4 (PBE, Alexandria via LeMat-Bulk).

It has space group P2/m (No. 10), with a = 8.1844 Å, b = 4.7316 Å, c = 8.1910 Å, α = 90.00°, β = 109.44° and γ = 90.00°. The asymmetric unit holds Ac at (0.0000, 0.0000, 0.0000), La at (0.5000, 0.0000, 0.5000), La at (0.5000, 0.5000, 0.0000), Nd at (0.0000, 0.5000, 0.5000), Bi at (0.2507, 0.0000, 0.7438) and Bi at (0.2556, 0.5000, 0.2583).

The calculation puts the energy at -42.311 eV for the cell shown.



No. 10
# AcLaNdBi

A relaxed structure of AcLaNdBi (PBE, Alexandria via LeMat-Bulk).

It has space group F-43m (No. 216), with a = 8.1974 Å, b = 8.1974 Å, c = 8.1974 Å, α = 90.00°, β = 90.00° and γ = 90.00°. The asymmetric unit holds Ac at (0.0000, 0.0000, 0.0000), La at (0.2500, 0.2500, 0.2500), Nd at (0.2500, 0.2500, 0.7500) and Bi at (0.0000, 0.0000, 0.5000).

The calculation puts the energy at -74.670 eV for the cell shown.



No. 11
# Ac2La3NdBi6

A relaxed structure of Ac2La3NdBi6 (PBE, Alexandria via LeMat-Bulk).

It has space group C2/m (No. 12), with a = 20.6972 Å, b = 4.7534 Å, c = 9.5026 Å, α = 90.00°, β = 103.26° and γ = 90.00°. The asymmetric unit holds Ac at (0.1654, 0.0000, 0.3319), La at (0.0000, 0.5000, 0.5000), La at (0.1676, 0.0000, 0.8349), Nd at (0.0000, 0.5000, 0.0000), Bi at (0.0032, 0.0000, 0.7547), Bi at (0.1650, 0.5000, 0.0754) and Bi at (0.1645, 0.5000, 0.5896).

The calculation puts the energy at -126.390 eV for the cell shown.



No. 12
# Ac2LaBi2O2

A relaxed structure of Ac2LaBi2O2 (PBE, Alexandria via LeMat-Bulk).

It has space group I4/mmm (No. 139), with a = 4.6877 Å, b = 4.6877 Å, c = 17.6182 Å, α = 90.00°, β = 90.00° and γ = 90.00°. The asymmetric unit holds Ac at (0.0000, 0.0000, 0.1145), La at (0.0000, 0.0000, 0.5000), Bi at (0.0000, 0.0000, 0.3094) and O at (0.0000, 0.5000, 0.0000).

As for the formation energy from raw total energies: -1822.6 meV per atom.